[1]
VASP calculation (PBE) on a relaxed structure of NaHIN2.

a b c (Å): 5.2169 5.2169 5.8423
angles (deg): 90.00 90.00 90.00
Space group P4/mmm (No. 123)
Symmetry-distinct sites (fractional):
Na1 0.0000 0.0000 0.0000 [1 per cell]
H1 0.5000 0.5000 0.5000 [1 per cell]
I1 0.0000 0.0000 0.5000 [1 per cell]
N1 0.0000 0.5000 0.0000 [2 per cell]

Computed properties:
size of the total moment = 6.92 μB/cell
density of states at the Fermi level = 0.42 states/eV/atom
relative energy among the computed polymorphs = 27.0 kJ per mole of atoms
theoretical density = 1.87 Mg/m³


[2]
VASP calculation (PBE) on a relaxed structure of NbHIN2.

a b c (Å): 3.9646 3.9646 6.0200
angles (deg): 90.00 90.00 90.00
Space group P4/mmm (No. 123)
Symmetry-distinct sites (fractional):
Nb1 0.0000 0.0000 0.0000 [1 per cell]
H1 0.5000 0.5000 0.5000 [1 per cell]
I1 0.0000 0.0000 0.5000 [1 per cell]
N1 0.0000 0.5000 0.0000 [2 per cell]

Computed properties:
size of the total moment = 0.97 μB/cell
density of states at the Fermi level = 0.27 states/eV/atom
relative energy among the computed polymorphs = 0.0 kJ per mole of atoms
theoretical density = 4.37 Mg/m³


[3]
VASP calculation (PBE) on a relaxed structure of NbHI2N.

a b c (Å): 5.7232 5.7232 3.9236
angles (deg): 90.00 90.00 90.00
Space group P4/mmm (No. 123)
Symmetry-distinct sites (fractional):
Nb1 0.0000 0.0000 0.0000 [1 per cell]
H1 0.5000 0.5000 0.5000 [1 per cell]
I1 0.0000 0.5000 0.0000 [2 per cell]
N1 0.0000 0.0000 0.5000 [1 per cell]

Computed properties:
size of the total moment = 1.08 μB/cell
density of states at the Fermi level = 0.29 states/eV/atom
relative energy among the computed polymorphs = 0.0 kJ per mole of atoms
theoretical density = 4.67 Mg/m³


[4]
VASP calculation (PBE) on a relaxed structure of NbHI2N.

a b c (Å): 5.1629 5.1629 3.1587
angles (deg): 90.00 90.00 90.00
Space group P4/mmm (No. 123)
Symmetry-distinct sites (fractional):
Nb1 0.0000 0.0000 0.0000 [1 per cell]
H1 0.5000 0.5000 0.5000 [1 per cell]
I1 0.0000 0.5000 0.5000 [2 per cell]
N1 0.5000 0.5000 0.0000 [1 per cell]

Computed properties:
size of the total moment = 0.00 μB/cell
density of states at the Fermi level = 0.95 states/eV/atom
relative energy among the computed polymorphs = 93.0 kJ per mole of atoms
theoretical density = 7.13 Mg/m³


[5]
VASP calculation (PBE) on a relaxed structure of NbHIN2.

a b c (Å): 4.1934 4.1934 3.2799
angles (deg): 90.00 90.00 90.00
Space group P4/mmm (No. 123)
Symmetry-distinct sites (fractional):
Nb1 0.0000 0.0000 0.0000 [1 per cell]
H1 0.5000 0.5000 0.5000 [1 per cell]
I1 0.5000 0.5000 0.0000 [1 per cell]
N1 0.0000 0.5000 0.5000 [2 per cell]

Computed properties:
size of the total moment = 0.00 μB/cell
density of states at the Fermi level = 0.83 states/eV/atom
relative energy among the computed polymorphs = 102.0 kJ per mole of atoms
theoretical density = 7.16 Mg/m³


[6]
VASP calculation (PBE) on a relaxed structure of HOsI2N.

a b c (Å): 5.1159 5.1159 3.0018
angles (deg): 90.00 90.00 90.00
Space group P4/mmm (No. 123)
Symmetry-distinct sites (fractional):
H1 0.0000 0.0000 0.0000 [1 per cell]
Os1 0.5000 0.5000 0.5000 [1 per cell]
I1 0.0000 0.5000 0.0000 [2 per cell]
N1 0.0000 0.0000 0.5000 [1 per cell]

Computed properties:
size of the total moment = 1.04 μB/cell
density of states at the Fermi level = 0.79 states/eV/atom
relative energy among the computed polymorphs = 90.0 kJ per mole of atoms
theoretical density = 9.70 Mg/m³


> Which formula does entry 5 have?

NbHIN2


> What is the theoretical density in the fifth record?

7.16 Mg/m³